Entry from Alexandria: a relaxed Ho6HgTe3As2 crystal (GGA-PBE).

Structure (POSCAR):
```
Ho6HgTe3As2
1.0
-1.913 2.660 2.588
-7.607 -1.819 -3.754
1.595 -7.576 5.598
Ho Hg Te As
6 1 3 2
direct
0.336 0.896 0.671
0.674 0.567 0.348
0.664 0.104 0.329
0.008 0.246 0.016
0.992 0.754 0.984
0.326 0.433 0.652
0.500 0.000 0.000
0.500 0.500 0.000
0.833 0.168 0.666
0.167 0.832 0.334
0.832 0.663 0.664
0.168 0.337 0.336
```

## Properties
DOS at the Fermi energy (states/eV per atom): 0.385
SG: No. 12
Total energy (eV per formula unit): -61.481